[1]
Y8SiSe3S4 | GGA-PBE | optimized geometry

SG: R-3m
Uncorrected formation energy in eV per atom: -1.797
E_tot in eV per atom: -7.053

Lattice parameters (Å, degrees): 8.033 8.030 8.033 120.01 120.00 90.00
Sites, in units of the cell vectors:
Y (0.247, 0.760, 0.013)
Y (0.247, 0.760, 0.494)
Y (0.242, 0.226, 0.484)
Y (0.766, 0.760, 0.013)
Y (0.234, 0.240, 0.987)
Y (0.758, 0.774, 0.516)
Y (0.753, 0.240, 0.506)
Y (0.753, 0.240, 0.987)
Si (0.000, 0.500, 0.000)
Se (0.500, 0.500, 0.000)
Se (0.500, 0.500, 0.500)
Se (0.000, 0.500, 0.500)
S (0.500, 0.000, 0.000)
S (0.500, 0.000, 0.500)
S (0.000, 0.000, 0.000)
S (0.000, 0.000, 0.500)


[2]
Y4SiSe2S | GGA-PBE | optimized geometry

SG: P2/m
Uncorrected formation energy in eV per atom: -1.654
E_tot in eV per atom: -6.951

Lattice parameters (Å, degrees): 4.053 7.122 6.999 70.68 90.00 90.00
Sites, in units of the cell vectors:
Y (0.000, 0.731, 0.753)
Y (0.000, 0.269, 0.247)
Y (0.500, 0.733, 0.258)
Y (0.500, 0.267, 0.742)
Si (0.000, 0.500, 0.500)
Se (0.000, 0.000, 0.000)
Se (0.500, 0.000, 0.500)
S (0.500, 0.500, 0.000)